Entry 1
! PaCuRe (PBE-GGA, relaxed); values from VASP
&SYSTEM
  ibrav = 0, nat = 6, ntyp = 3
/
ATOMIC_SPECIES
Pa 231.04 Pa.upf
Cu 63.55 Cu.upf
Re 186.21 Re.upf
CELL_PARAMETERS angstrom
3.0379 0.0000 0.0000
0.0000 3.0379 0.0000
0.0000 0.0000 11.4452
ATOMIC_POSITIONS crystal
Pa 0.2500 0.2500 0.2401
Pa 0.7500 0.7500 0.7599
Cu 0.2500 0.2500 0.9432
Cu 0.7500 0.7500 0.0568
Re 0.2500 0.2500 0.5654
Re 0.7500 0.7500 0.4346
! - Calculated volume: 105.6 Å³/cell
! - Magnetization: 0.000 μB per formula unit

=====

Entry 2
! PaCuRe (PBE-GGA, relaxed); values from VASP
&SYSTEM
  ibrav = 0, nat = 3, ntyp = 3
/
ATOMIC_SPECIES
Pa 231.04 Pa.upf
Cu 63.55 Cu.upf
Re 186.21 Re.upf
CELL_PARAMETERS angstrom
4.5808 0.0000 0.0000
-2.2904 3.9671 0.0000
0.0000 0.0000 2.9691
ATOMIC_POSITIONS crystal
Pa 0.0000 0.0000 0.0000
Cu 0.6667 0.3333 0.5159
Re 0.3333 0.6667 0.3565
! - Calculated volume: 54.0 Å³/cell
! - Magnetization: 0.000 μB per formula unit

=====

Structures ranked by computed energy, the most stable listed first: entry 1, entry 2.

=====

Entry 1
! PaCuRh (PBE-GGA, relaxed); values from VASP
&SYSTEM
  ibrav = 0, nat = 3, ntyp = 3
/
ATOMIC_SPECIES
Pa 231.04 Pa.upf
Cu 63.55 Cu.upf
Rh 102.91 Rh.upf
CELL_PARAMETERS angstrom
-1.7809 1.7809 4.3774
1.7809 -1.7809 4.3774
1.7809 1.7809 -4.3774
ATOMIC_POSITIONS crystal
Pa 0.0000 0.0000 0.0000
Cu 0.3212 0.3212 0.0000
Rh 0.6538 0.6538 0.0000
! - Calculated volume: 55.5 Å³/cell
! - Magnetization: 0.000 μB per formula unit

=====

Entry 2
! PaCuRh (PBE-GGA, relaxed); values from VASP
&SYSTEM
  ibrav = 0, nat = 3, ntyp = 3
/
ATOMIC_SPECIES
Pa 231.04 Pa.upf
Cu 63.55 Cu.upf
Rh 102.91 Rh.upf
CELL_PARAMETERS angstrom
4.4672 0.0000 0.0000
-2.2336 3.8687 0.0000
0.0000 0.0000 3.1284
ATOMIC_POSITIONS crystal
Pa 0.0000 0.0000 0.0000
Cu 0.3333 0.6667 0.5000
Rh 0.6667 0.3333 0.5000
! - Calculated volume: 54.1 Å³/cell
! - Magnetization: 0.000 μB per formula unit

=====

Structures ranked by computed energy, the most stable listed first: entry 2, entry 1.